Model A:
! Na2LiNi PBE-GGA optimized geometry; values from VASP
! - total magnetization (μB per atom) = 0.0000
! - calculated density (Mg/m³) = 2.25
&SYSTEM
  ibrav = 0, nat = 4, ntyp = 3
/
ATOMIC_SPECIES
Na 22.99 Na.upf
Li 6.94 Li.upf
Ni 58.69 Ni.upf
ATOMIC_POSITIONS crystal
Na 0.250 0.250 0.250
Na 0.750 0.750 0.750
Li 0.000 0.000 0.000
Ni 0.500 0.500 0.500
CELL_PARAMETERS angstrom
0.000 3.453 3.453
3.453 0.000 3.453
3.453 3.453 0.000


Model B:
! Na2LiNi PBE-GGA optimized geometry; values from VASP
! - total magnetization (μB per atom) = 0.0140
! - calculated density (Mg/m³) = 2.21
&SYSTEM
  ibrav = 0, nat = 8, ntyp = 3
/
ATOMIC_SPECIES
Na 22.99 Na.upf
Li 6.94 Li.upf
Ni 58.69 Ni.upf
ATOMIC_POSITIONS crystal
Na 0.116 0.625 0.991
Na 0.375 0.366 0.491
Na 0.634 0.125 0.009
Na 0.875 0.884 0.509
Li 0.250 0.750 0.500
Li 0.500 0.500 0.000
Ni 0.000 0.000 0.000
Ni 0.750 0.250 0.500
CELL_PARAMETERS angstrom
-2.014 2.014 10.333
2.014 -2.014 10.333
2.014 2.014 -10.333


Least stable = model B


Model A:
! Na3LiO2 PBE-GGA optimized geometry; values from VASP
! - total magnetization (μB per atom) = 0.0000
! - calculated density (Mg/m³) = 1.98
&SYSTEM
  ibrav = 0, nat = 12, ntyp = 3
/
ATOMIC_SPECIES
Na 22.99 Na.upf
Li 6.94 Li.upf
O 16.00 O.upf
ATOMIC_POSITIONS crystal
Na 0.194 0.000 0.694
Na 0.194 0.500 0.194
Na 0.292 0.042 0.250
Na 0.708 0.958 0.750
Na 0.806 0.000 0.306
Na 0.806 0.500 0.806
Li 0.324 0.574 0.750
Li 0.676 0.426 0.250
O 0.041 0.291 0.750
O 0.500 0.000 0.000
O 0.500 0.500 0.500
O 0.959 0.709 0.250
CELL_PARAMETERS angstrom
-3.481 3.787 3.430
3.481 -3.787 3.430
3.481 3.787 -3.430


Model B:
! Na3LiO2 PBE-GGA optimized geometry; values from VASP
! - total magnetization (μB per atom) = 0.0000
! - calculated density (Mg/m³) = 2.33
&SYSTEM
  ibrav = 0, nat = 12, ntyp = 3
/
ATOMIC_SPECIES
Na 22.99 Na.upf
Li 6.94 Li.upf
O 16.00 O.upf
ATOMIC_POSITIONS crystal
Na 0.193 0.667 0.860
Na 0.250 0.250 0.000
Na 0.307 0.167 0.474
Na 0.693 0.833 0.526
Na 0.750 0.750 0.000
Na 0.807 0.333 0.140
Li 0.250 0.750 0.500
Li 0.750 0.250 0.500
O 0.105 0.291 0.396
O 0.395 0.791 0.186
O 0.605 0.209 0.814
O 0.895 0.709 0.604
CELL_PARAMETERS angstrom
-2.814 5.420 2.518
2.814 -5.420 2.518
2.814 5.420 -2.518


Least stable = model A